Here is a geometry-optimized RbNbGe structure from OQMD via LeMat-Bulk. Energies are from PBE.

DFT total energy	-12.1	eV/cell
theoretical density	5.137	Mg/m³

Cell: 4.859 4.859 4.859 Å, 60.00 60.00 60.00°
Fractional coordinates of all 3 atoms:
1 Nb 0.000 0.000 0.000
2 Ge 0.250 0.250 0.250
3 Rb 0.750 0.750 0.750

---

Here is a geometry-optimized HfTa2Cu structure from OQMD via LeMat-Bulk. Energies are from PBE.

DFT total energy	-36.9	eV/cell
ΔE_f	3.0	kcal/mol of atoms
theoretical density	14.344	Mg/m³

Cell: 4.624 4.624 4.624 Å, 60.00 60.00 60.00°
Fractional coordinates of all 4 atoms:
1 Cu 0.250 0.250 0.250
2 Ta 0.750 0.750 0.750
3 Hf 0.500 0.500 0.500
4 Ta 0.000 0.000 0.000

---

Here is a geometry-optimized NaLiPdW structure from OQMD via LeMat-Bulk. Energies are from PBE.

DFT total energy	-18.6	eV/cell
theoretical density	8.415	Mg/m³

Cell: 4.471 4.471 4.471 Å, 60.00 60.00 60.00°
Fractional coordinates of all 4 atoms:
1 Pd 0.500 0.500 0.500
2 Li 0.000 0.000 0.000
3 W 0.250 0.250 0.250
4 Na 0.750 0.750 0.750

---

Question: The lowest theoretical density belongs to which entry?
Answer: RbNbGe

---

Question: DFT total energy of number 3 (NaLiPdW)?
Answer: -18.6 eV/cell

---

Question: Which formula does entry 1 have?
Answer: RbNbGe

---

Question: Among the records above, which one has the highest theoretical density?
Answer: HfTa2Cu